No. 1
Density functional theory data (GGA-PBE) for crystalline K3ZnBr6 at its relaxed geometry.

Geometry as CIF:
```
data_K3ZnBr6
_space_group_name_H-M_alt 'C m c 21'
_space_group_IT_number 36
_cell_length_a 13.940
_cell_length_b 18.062
_cell_length_c 6.218
_cell_angle_alpha 90.00
_cell_angle_beta 90.00
_cell_angle_gamma 90.00
loop_
_space_group_symop_operation_xyz
'x,y,z'
'-x,-y,z+1/2'
'-x,y,z'
'x,-y,z+1/2'
'x+1/2,y+1/2,z'
'-x+1/2,-y+1/2,z+1/2'
'-x+1/2,y+1/2,z'
'x+1/2,-y+1/2,z+1/2'
loop_
_atom_site_label
_atom_site_fract_x
_atom_site_fract_y
_atom_site_fract_z
K1 0.000 0.118 0.000
K2 0.183 0.379 0.976
Zn1 0.000 0.293 0.403
Br1 0.000 0.286 0.790
Br2 0.000 0.423 0.300
Br3 0.145 0.230 0.281
Br4 0.163 0.003 0.735
```

- E_form (uncorrected): -12.963 eV/f.u.
- Crystal system: orthorhombic

No. 2
Density functional theory data (GGA-PBE) for crystalline Ag2MoCl at its relaxed geometry.

Geometry as CIF:
```
data_Ag2MoCl
_space_group_name_H-M_alt 'P m m m'
_space_group_IT_number 47
_cell_length_a 2.874
_cell_length_b 4.697
_cell_length_c 5.342
_cell_angle_alpha 90.00
_cell_angle_beta 90.00
_cell_angle_gamma 90.00
loop_
_space_group_symop_operation_xyz
'x,y,z'
'-x,-y,-z'
'-x,-y,z'
'x,y,-z'
'x,-y,-z'
'-x,y,z'
'-x,y,-z'
'x,-y,z'
loop_
_atom_site_label
_atom_site_fract_x
_atom_site_fract_y
_atom_site_fract_z
Ag1 0.000 0.000 0.000
Ag2 0.500 0.500 0.000
Mo1 0.000 0.500 0.500
Cl1 0.500 0.000 0.500
```

- E_form (uncorrected): 2.421 eV/f.u.
- Offset from the most stable computed form: 492.3 meV per atom
- Crystal system: orthorhombic

Which value of E_form (uncorrected) does entry 2 give? 2.421 eV/f.u.